[1]
A PBEsol-optimized structure of Li3Ir. Source: Alexandria via LeMat-Bulk, functional meta-GGA SCAN.

abc: 8.980 2.487 4.955
angles: 90.00 95.29 90.00
Space group C2/m (No. 12)
Unique sites:
Li (0.000, 0.000, 0.000)
Li (0.244, 0.000, 0.723)
Ir (0.000, 0.500, 0.500)

[2]
A PBEsol-optimized structure of Li3Ir. Source: Alexandria via LeMat-Bulk, functional meta-GGA SCAN.

abc: 2.486 4.467 4.957
angles: 90.00 90.00 90.00
Space group Pmm2 (No. 25)
Unique sites:
Li (0.000, 0.000, 0.000)
Li (0.000, 0.500, 0.309)
Li (0.500, 0.500, 0.756)
Ir (0.500, 0.000, 0.497)

[3]
A PBEsol-optimized structure of LiIr. Source: Alexandria via LeMat-Bulk, functional meta-GGA SCAN.

abc: 2.8568 2.8568 12.5471
angles: 90.00 90.00 120.00
Space group P6_3/mmc (No. 194)
Unique sites:
Li (0.0000, 0.0000, 0.2500)
Li (0.3333, 0.6667, 0.2500)
Ir (0.3333, 0.6667, 0.5846)

[4]
A PBEsol-optimized structure of Li3Ir. Source: Alexandria via LeMat-Bulk, functional meta-GGA SCAN.

abc: 2.569 4.569 9.034
angles: 90.00 90.00 90.00
Space group Immm (No. 71)
Unique sites:
Li (0.000, 0.000, 0.000)
Li (0.000, 0.500, 0.250)
Ir (0.000, 0.000, 0.500)

[5]
A PBEsol-optimized structure of Li5Ir3. Source: Alexandria via LeMat-Bulk, functional meta-GGA SCAN.

abc: 5.015 9.657 17.934
angles: 90.00 90.00 90.00
Space group Fmmm (No. 69)
Unique sites:
Li (0.000, 0.125, 0.138)
Li (0.000, 0.140, 0.377)
Li (0.248, 0.000, 0.000)
Ir (0.000, 0.000, 0.264)
Ir (0.000, 0.241, 0.000)
Ir (0.250, 0.250, 0.250)

[6]
A PBEsol-optimized structure of LiIr2. Source: Alexandria via LeMat-Bulk, functional meta-GGA SCAN.

abc: 4.1169 4.1169 2.6462
angles: 90.00 90.00 120.00
Space group P-3m1 (No. 164)
Unique sites:
Li (0.0000, 0.0000, 0.0000)
Ir (0.3333, 0.6667, 0.7237)

[7]
A PBEsol-optimized structure of Li2MgIr2. Source: Alexandria via LeMat-Bulk, functional meta-GGA SCAN.

abc: 5.709 5.709 3.761
angles: 90.00 90.00 90.00
Space group P4/mbm (No. 127)
Unique sites:
Li (0.120, 0.380, 0.000)
Mg (0.000, 0.000, 0.000)
Ir (0.178, 0.678, 0.500)

[8]
A PBEsol-optimized structure of Li2MgIr. Source: Alexandria via LeMat-Bulk, functional meta-GGA SCAN.

abc: 3.767 3.767 4.077
angles: 90.00 90.00 90.00
Space group P4/mmm (No. 123)
Unique sites:
Li (0.000, 0.500, 0.000)
Mg (0.000, 0.000, 0.500)
Ir (0.500, 0.500, 0.500)

no.,E_tot (eV per atom)
1,-19.75
2,-19.75
3,-36.28
4,-19.69
5,-28.35
6,-48.15
7,-30.46
8,-20.34